(1)
The following is a PBE calculation of a relaxed structure of Sr2Hf2Ti, from Alexandria.

Computed properties:
- energy (eV for the cell shown) = -26.61
- ΔH_f (0 K) (eV per atom) = 0.9106

Structure (POSCAR):
```
Sr2Hf2Ti
1.0
3.918 0.000 0.000
0.000 3.918 0.000
1.959 1.959 11.145
Ti Sr Hf
1 2 2
Cartesian
0.000 0.000 0.000 Ti
3.918 3.918 8.808 Sr
1.959 1.959 2.337 Sr
1.959 3.918 5.573 Hf
3.918 1.959 5.573 Hf
```

(2)
The following is a PBE calculation of a relaxed structure of Sr2HfTi, from Alexandria.

Computed properties:
- energy (eV for the cell shown) = -17.27
- ΔH_f (0 K) (eV per atom) = 0.9863

Structure (POSCAR):
```
Sr2HfTi
1.0
0.754 0.007 5.580
0.107 4.872 2.821
-4.262 1.370 3.415
Hf Sr Ti
1 2 1
Cartesian
-1.700 3.125 5.908 Hf
-0.850 1.562 2.954 Sr
-2.550 4.687 8.862 Sr
0.000 0.000 0.000 Ti
```

(3)
The following is a PBE calculation of a relaxed structure of Sr2HfTi, from Alexandria.

Computed properties:
- energy (eV for the cell shown) = -33.18
- ΔH_f (0 K) (eV per atom) = 1.1552

Structure (POSCAR):
```
Sr2HfTi
1.0
-8.248 1.685 -3.072
2.567 -2.442 -8.232
-3.685 -3.372 -5.027
Ti Hf Sr
2 2 4
Cartesian
-1.979 -3.096 -9.455 Ti
-2.841 -0.378 -5.652 Ti
-7.387 -1.033 -6.875 Hf
0.000 0.000 0.000 Hf
-5.639 -0.119 -4.162 Sr
-4.858 -2.847 -8.125 Sr
-7.771 -3.157 -13.545 Sr
-0.464 -2.135 -6.829 Sr
```

| no. | energy relative to the lowest polymorph listed for this composition (meV/atom) |
| --- | --- |
| 1 | 0.0 |
| 2 | 0.0 |
| 3 | 168.8 |